8
Lattice="-4.206 1.691 -1.893 -0.179 -3.815 3.090 1.795 3.720 2.660" Properties=species:S:1:pos:R:3 comment="MnBe2Ir, relaxed, DFT GGA-PBEsol" e_tot_ev_per_atom=-6.63 ef_ev_per_atom=0.266 magmom_total_mub_per_cell=5.89 e_above_lowest_polymorph_mev_per_atom=667 dos_at_fermi_per_ev_cell=5.96 pbc="T T T"
Ir 0.000 0.000 0.000
Ir -0.288 -0.578 3.174
Mn -2.192 -1.062 0.599
Mn -2.302 2.174 0.683
Be 0.350 1.594 1.484
Be -1.736 -2.700 1.995
Be -1.951 3.765 2.162
Be -1.844 0.533 2.074